1.
DFT (PBE) results for a relaxed structure of TaPt5.

Cell: 9.048 3.935 5.662 Å, 90.00 109.17 90.00°
Space group C2/m (No. 12)
One atom of each set of equivalent atoms:
Ta1 0.000 0.000 0.000 x2
Pt1 0.000 0.000 0.500 x2
Pt2 0.159 0.500 0.323 x4
Pt3 0.165 0.500 0.833 x4

total DFT energy (no corrections)	-7.56	eV/atom
ΔE_f	-0.549	eV/atom

***

2.
DFT (PBE) results for a relaxed structure of TaPt3.

Cell: 6.389 6.389 6.389 Å, 90.00 90.00 90.00°
Space group Fm-3m (No. 225)
One atom of each set of equivalent atoms:
Ta1 0.000 0.000 0.000 x4
Pt1 0.000 0.000 0.500 x4
Pt2 0.250 0.250 0.250 x8

total DFT energy (no corrections)	-7.94	eV/atom
ΔE_f	-0.449	eV/atom

***

3.
DFT (PBE) results for a relaxed structure of Ta2Pt.

Cell: 4.039 4.039 25.266 Å, 90.00 90.00 90.00°
Space group I4_1/amd (No. 141, origin choice 2)
One atom of each set of equivalent atoms:
Ta1 0.000 0.250 0.123 x8
Ta2 0.000 0.250 0.789 x8
Pt1 0.000 0.250 0.289 x8

total DFT energy (no corrections)	-10.30	eV/atom
ΔE_f	-0.384	eV/atom

***

4.
DFT (PBE) results for a relaxed structure of Ta3Pt.

Cell: 9.2670 9.2670 2.7974 Å, 90.00 90.00 120.00°
Space group R-3m (No. 166, hexagonal axes)
One atom of each set of equivalent atoms:
Ta1 0.0000 0.5000 0.0000 x9
Pt1 0.0000 0.0000 0.0000 x3

total DFT energy (no corrections)	-10.67	eV/atom
ΔE_f	-0.267	eV/atom

***

5.
DFT (PBE) results for a relaxed structure of Ta2Pt.

Cell: 2.860 2.860 26.021 Å, 90.00 90.00 90.00°
Space group I4_1/amd (No. 141, origin choice 2)
One atom of each set of equivalent atoms:
Ta1 0.000 0.250 0.297 x8
Pt1 0.000 0.250 0.875 x4

total DFT energy (no corrections)	-10.12	eV/atom
ΔE_f	-0.204	eV/atom

***

6.
DFT (PBE) results for a relaxed structure of Ta3Pt5.

Cell: 8.064 8.134 3.970 Å, 90.00 90.00 90.00°
Space group Cmmm (No. 65)
One atom of each set of equivalent atoms:
Ta1 0.000 0.000 0.000 x2
Ta2 0.244 0.500 0.500 x4
Pt1 0.000 0.243 0.500 x4
Pt2 0.000 0.500 0.000 x2
Pt3 0.250 0.250 0.000 x4

total DFT energy (no corrections)	-8.83	eV/atom
offset from the most stable computed form	72	meV/atom
ΔE_f	-0.605	eV/atom

***

7.
DFT (PBE) results for a relaxed structure of Ta2Pt.

Cell: 2.798 15.658 4.790 Å, 90.00 90.00 90.00°
Space group Cmcm (No. 63)
One atom of each set of equivalent atoms:
Ta1 0.000 0.046 0.250 x4
Ta2 0.000 0.370 0.250 x4
Pt1 0.000 0.289 0.750 x4

total DFT energy (no corrections)	-10.15	eV/atom
ΔE_f	-0.235	eV/atom

***

8.
DFT (PBE) results for a relaxed structure of TaPt3.

Cell: 9.425 2.836 4.889 Å, 90.00 100.29 90.00°
Space group C2/m (No. 12)
One atom of each set of equivalent atoms:
Ta1 0.000 0.000 0.000 x2
Pt1 0.000 0.500 0.500 x2
Pt2 0.248 0.500 0.246 x4

total DFT energy (no corrections)	-8.00	eV/atom
ΔE_f	-0.511	eV/atom

***

Question: What is the ΔE_f in the fifth record?
Answer: -0.204 eV/atom